## YTmGe2Os (PBE-GGA)

Data for a relaxed structure of YTmGe2Os.

Summary:
Energy: -6.991 eV/atom

Geometry as CIF:
```
data_YTmGe2Os
_cell_length_a 5.760
_cell_length_b 5.760
_cell_length_c 10.056
_cell_angle_alpha 115.72
_cell_angle_beta 115.72
_cell_angle_gamma 43.80
_space_group_name_H-M_alt 'P 1'
_space_group_IT_number 1
_space_group_name_Hall 'P 1'
loop_
_atom_site_label
_atom_site_type_symbol
_atom_site_fract_x
_atom_site_fract_y
_atom_site_fract_z
_atom_site_occupancy
Ge1 Ge 0.641 0.641 0.062 1
Ge2 Ge 0.511 0.511 0.373 1
Ge3 Ge 0.489 0.489 0.627 1
Ge4 Ge 0.359 0.359 0.938 1
Os1 Os 0.268 0.268 0.130 1
Os2 Os 0.732 0.732 0.870 1
Tm1 Tm 0.002 0.002 0.174 1
Tm2 Tm 0.998 0.998 0.826 1
Y1 Y 0.815 0.815 0.387 1
Y2 Y 0.185 0.185 0.613 1
```